Entry 1:
This record from Alexandria describes a PBEsol-optimized structure of Sm2MgPtO6. The functional is SCAN.

Computed properties:
DFT total energy: -458.84 eV for the cell shown
total moment: 0.00 μB per formula unit

a = 5.3659 Å, b = 5.6998 Å, c = 7.7163 Å
α = 90.00°, β = 89.57°, γ = 90.00°
Atoms (fractional coordinates):
Sm  0.9800  0.4310  0.2505
Sm  0.0200  0.5690  0.7495
Sm  0.5200  0.9310  0.2495
Sm  0.4800  0.0690  0.7505
Mg  0.0000  0.0000  0.5000
Mg  0.5000  0.5000  0.0000
Pt  0.0000  0.0000  0.0000
Pt  0.5000  0.5000  0.5000
O  0.1070  0.0355  0.2480
O  0.8930  0.9645  0.7520
O  0.3930  0.5355  0.2520
O  0.6070  0.4645  0.7480
O  0.8106  0.7013  0.0548
O  0.1894  0.2987  0.9452
O  0.6894  0.2013  0.4452
O  0.3106  0.7987  0.5548
O  0.6957  0.1973  0.0535
O  0.3043  0.8027  0.9465
O  0.8043  0.6973  0.4465
O  0.1957  0.3027  0.5535

=====

Entry 2:
This record from Alexandria describes a PBEsol-optimized structure of ZnCuAu2. The functional is SCAN.

Computed properties:
energy relative to the elements: -136 meV/atom
DFT total energy: -167.57 eV for the cell shown
total moment: 0.00 μB per formula unit

a = 3.0919 Å, b = 3.0919 Å, c = 6.1627 Å
α = 90.00°, β = 90.00°, γ = 90.00°
Atoms (fractional coordinates):
Zn  0.5000  0.5000  0.7272
Au  0.0000  0.0000  0.9736
Au  0.5000  0.5000  0.2800
Cu  0.0000  0.0000  0.5192

=====

Entry 3:
This record from Alexandria describes a PBEsol-optimized structure of LaSiNi. The functional is SCAN.

Computed properties:
DFT total energy: -70.40 eV for the cell shown
total moment: 0.00 μB per formula unit

a = 4.4134 Å, b = 4.4134 Å, c = 4.4134 Å
α = 60.00°, β = 60.00°, γ = 60.00°
Atoms (fractional coordinates):
La  0.5000  0.5000  0.5000
Ni  0.2500  0.2500  0.2500
Si  0.0000  0.0000  0.0000

=====

Entry 4:
This record from Alexandria describes a PBEsol-optimized structure of NiTeAs4. The functional is SCAN.

Computed properties:
DFT total energy: -129.57 eV for the cell shown
total moment: 0.00 μB per formula unit

a = 5.4837 Å, b = 5.4837 Å, c = 5.4837 Å
α = 60.00°, β = 60.00°, γ = 60.00°
Atoms (fractional coordinates):
As  0.3769  0.3769  0.3769
As  0.3769  0.3769  0.8694
As  0.8694  0.3769  0.3769
As  0.3769  0.8694  0.3769
Ni  0.7500  0.7500  0.7500
Te  0.0000  0.0000  0.0000

=====

Entry 5:
This record from Alexandria describes a PBEsol-optimized structure of Sc2CS. The functional is SCAN.

Computed properties:
DFT total energy: -105.66 eV for the cell shown
total moment: 0.00 μB per formula unit

a = 5.6316 Å, b = 5.6316 Å, c = 5.6316 Å
α = 100.16°, β = 114.32°, γ = 114.32°
Atoms (fractional coordinates):
Sc  0.9435  0.5685  0.1250
Sc  0.0565  0.1815  0.6250
Sc  0.5565  0.3750  0.4315
Sc  0.4435  0.8750  0.8185
S  0.0000  0.0000  0.0000
S  0.5000  0.7500  0.2500
C  0.0000  0.5000  0.5000
C  0.5000  0.2500  0.7500

=====

Entry 6:
This record from Alexandria describes a PBEsol-optimized structure of SiHg2Ru. The functional is SCAN.

Computed properties:
DFT total energy: -179.86 eV for the cell shown
total moment: 0.00 μB per formula unit

a = 3.5991 Å, b = 4.2368 Å, c = 5.4076 Å
α = 113.06°, β = 109.44°, γ = 90.00°
Atoms (fractional coordinates):
Hg  0.9842  0.9842  0.9685
Hg  0.7708  0.2708  0.5417
Ru  0.5463  0.5463  0.0925
Si  0.1987  0.6987  0.3973

=====

Question: What is the formula in the third record?
Answer: LaSiNi